Below is a crystal of TlPPbO2 relaxed with PBEsol, with properties calculated at the SCAN level.

```
TlPPbO2
1.0
4.213 0.000 0.000
0.000 4.213 0.000
0.000 0.000 5.163
Pb P Tl O
1 1 1 2
direct
0.500 0.500 0.500 Pb
0.000 0.000 0.500 P
0.000 0.000 0.000 Tl
0.000 0.500 0.000 O
0.500 0.000 0.000 O
```

D(E_F) = 0.665 states/eV per atom

Below is a crystal of VPPbO6 relaxed with PBEsol, with properties calculated at the SCAN level.

```
VPPbO6
1.0
5.555 -0.004 0.000
-0.184 8.475 0.000
0.000 0.000 9.799
V P Pb O
4 4 4 24
direct
0.656 0.588 0.591 V
0.344 0.912 0.091 V
0.344 0.412 0.409 V
0.656 0.088 0.909 V
0.341 0.787 0.393 P
0.659 0.713 0.893 P
0.659 0.213 0.607 P
0.341 0.287 0.107 P
0.125 0.928 0.688 Pb
0.875 0.572 0.188 Pb
0.875 0.072 0.312 Pb
0.125 0.428 0.812 Pb
0.742 0.380 0.661 O
0.258 0.120 0.161 O
0.258 0.620 0.339 O
0.742 0.880 0.839 O
0.482 0.772 0.530 O
0.518 0.728 0.030 O
0.518 0.228 0.470 O
0.482 0.272 0.970 O
0.497 0.635 0.782 O
0.503 0.865 0.282 O
0.503 0.365 0.218 O
0.497 0.135 0.718 O
0.915 0.668 0.638 O
0.085 0.832 0.138 O
0.085 0.332 0.362 O
0.915 0.168 0.862 O
0.316 0.471 0.573 O
0.684 0.029 0.073 O
0.684 0.529 0.427 O
0.316 0.971 0.927 O
0.123 0.888 0.428 O
0.877 0.612 0.928 O
0.877 0.112 0.572 O
0.123 0.388 0.072 O
```

D(E_F) = 0.000 states/eV per atom

Below is a crystal of VP2PbO8 relaxed with PBEsol, with properties calculated at the SCAN level.

```
VP2PbO8
1.0
7.453 0.000 0.000
0.000 8.861 0.000
0.000 0.000 9.175
V P Pb O
4 8 4 32
direct
0.282 0.750 0.496 V
0.718 0.250 0.004 V
0.782 0.750 0.504 V
0.218 0.250 0.996 V
0.201 0.970 0.777 P
0.799 0.470 0.723 P
0.701 0.530 0.223 P
0.299 0.030 0.277 P
0.301 0.529 0.223 P
0.699 0.029 0.277 P
0.801 0.971 0.777 P
0.199 0.471 0.723 P
0.498 0.183 0.598 Pb
0.502 0.683 0.902 Pb
0.998 0.317 0.402 Pb
0.002 0.817 0.098 Pb
0.001 0.018 0.733 O
0.999 0.518 0.767 O
0.501 0.482 0.267 O
0.499 0.982 0.233 O
0.498 0.746 0.464 O
0.502 0.246 0.036 O
0.998 0.754 0.536 O
0.002 0.254 0.964 O
0.296 0.929 0.633 O
0.704 0.429 0.867 O
0.796 0.571 0.367 O
0.204 0.071 0.133 O
0.210 0.574 0.368 O
0.790 0.074 0.132 O
0.710 0.926 0.632 O
0.290 0.426 0.868 O
0.198 0.843 0.887 O
0.802 0.343 0.613 O
0.698 0.657 0.113 O
0.302 0.157 0.387 O
0.303 0.654 0.111 O
0.697 0.154 0.389 O
0.803 0.846 0.889 O
0.197 0.346 0.611 O
0.290 0.616 0.671 O
0.710 0.116 0.829 O
0.790 0.884 0.329 O
0.210 0.384 0.171 O
0.210 0.885 0.333 O
0.790 0.385 0.167 O
0.710 0.615 0.667 O
0.290 0.115 0.833 O
```

Below is a crystal of P2Pd2O7 relaxed with PBEsol, with properties calculated at the SCAN level.

```
P2Pd2O7
1.0
5.413 0.000 0.000
-2.706 6.553 -0.017
0.000 -1.117 7.819
P Pd O
4 4 14
direct
0.740 0.220 0.270 P
0.260 0.780 0.730 P
0.520 0.780 0.230 P
0.480 0.220 0.770 P
0.000 0.500 0.000 Pd
0.500 0.500 0.500 Pd
0.000 0.000 0.500 Pd
0.000 0.000 0.000 Pd
0.492 0.000 0.250 O
0.628 0.386 0.290 O
0.508 0.000 0.750 O
0.299 0.227 0.915 O
0.138 0.777 0.912 O
0.072 0.773 0.585 O
0.701 0.773 0.085 O
0.639 0.777 0.412 O
0.862 0.223 0.088 O
0.759 0.386 0.790 O
0.372 0.614 0.710 O
0.361 0.223 0.588 O
0.241 0.614 0.210 O
0.928 0.227 0.415 O
```

Below is a crystal of SbP2PdO relaxed with PBEsol, with properties calculated at the SCAN level.

```
SbP2PdO
1.0
-3.250 -0.236 -1.919
1.151 -4.393 -1.410
-2.141 -1.796 3.848
Sb O Pd P
1 1 1 2
direct
0.500 0.500 0.500 Sb
0.500 0.000 0.000 O
0.000 0.000 0.000 Pd
0.000 0.000 0.500 P
0.000 0.500 0.000 P
```

D(E_F) = 0.681 states/eV per atom

Below is a crystal of SnP2PdO relaxed with PBEsol, with properties calculated at the SCAN level.

```
SnP2PdO
1.0
3.775 0.000 0.000
0.000 4.785 0.000
0.000 0.000 4.785
O P Sn Pd
1 2 1 1
direct
0.500 0.000 0.000 O
0.000 0.000 0.500 P
0.000 0.500 0.000 P
0.500 0.500 0.500 Sn
0.000 0.000 0.000 Pd
```

D(E_F) = 0.698 states/eV per atom

Below is a crystal of SrP2PdO7 relaxed with PBEsol, with properties calculated at the SCAN level.

```
SrP2PdO7
1.0
5.959 0.000 0.000
0.000 7.415 0.000
0.000 0.000 13.399
Sr P Pd O
4 8 4 28
direct
0.250 0.749 0.249 Sr
0.750 0.251 0.751 Sr
0.750 0.249 0.251 Sr
0.250 0.751 0.749 Sr
0.250 0.300 0.108 P
0.750 0.700 0.892 P
0.750 0.800 0.392 P
0.250 0.200 0.608 P
0.250 0.196 0.395 P
0.750 0.804 0.605 P
0.750 0.696 0.105 P
0.250 0.304 0.895 P
0.000 0.000 0.000 Pd
0.000 0.500 0.500 Pd
0.500 0.000 0.000 Pd
0.500 0.500 0.500 Pd
0.250 0.058 0.314 O
0.750 0.942 0.686 O
0.750 0.558 0.186 O
0.250 0.442 0.814 O
0.250 0.404 0.002 O
0.750 0.596 0.998 O
0.750 0.904 0.498 O
0.250 0.096 0.502 O
0.250 0.435 0.191 O
0.750 0.565 0.809 O
0.750 0.935 0.309 O
0.250 0.065 0.691 O
0.033 0.312 0.393 O
0.967 0.688 0.607 O
0.967 0.812 0.107 O
0.533 0.688 0.607 O
0.033 0.188 0.893 O
0.467 0.312 0.393 O
0.467 0.188 0.893 O
0.533 0.812 0.107 O
0.033 0.183 0.110 O
0.967 0.817 0.890 O
0.967 0.683 0.390 O
0.533 0.817 0.890 O
0.033 0.317 0.610 O
0.467 0.183 0.110 O
0.467 0.317 0.610 O
0.533 0.683 0.390 O
```

Below is a crystal of SrP2PdO relaxed with PBEsol, with properties calculated at the SCAN level.

```
SrP2PdO
1.0
-2.581 -1.038 -3.429
-1.334 -3.815 2.158
-3.470 2.297 1.917
Sr O Pd P
1 1 1 2
direct
0.500 0.500 0.500 Sr
0.500 0.000 0.000 O
0.000 0.000 0.000 Pd
0.000 0.000 0.500 P
0.000 0.500 0.000 P
```

D(E_F) = 0.811 states/eV per atom

Number 1: formation energy from raw total energies 0.208 eV/atom, total moment 0.0 μB/cell. Number 2: formation energy from raw total energies -2.299 eV/atom, total moment 0.0 μB/cell. Number 3: formation energy from raw total energies -2.377 eV/atom, total moment 4.0 μB/cell. Number 4: formation energy from raw total energies -1.703 eV/atom, total moment 0.0 μB/cell. Number 5: formation energy from raw total energies 0.354 eV/atom, total moment 0.5 μB/cell. Number 6: formation energy from raw total energies 0.351 eV/atom, total moment 0.6 μB/cell. Number 7: formation energy from raw total energies -2.426 eV/atom, total moment 0.0 μB/cell. Number 8: formation energy from raw total energies -0.262 eV/atom, total moment 0.0 μB/cell.